Run 1
{
  "formula": "SmThCo2",
  "functional": "PBE",
  "state": "relaxed",
  "sg": "No. 225",
  "density_g_cm3": 10.27,
  "lattice_angstrom": [[0.000, 3.432, 3.432], [3.432, 0.000, 3.432], [3.432, 3.432, 0.000]],
  "species": ["Sm", "Th", "Co", "Co"],
  "frac_coords": [[0.000, 0.000, 0.000], [0.500, 0.500, 0.500], [0.250, 0.250, 0.250], [0.750, 0.750, 0.750]]
}

---

Run 2
{
  "formula": "SmThCo2",
  "functional": "PBE",
  "state": "relaxed",
  "sg": "No. 160",
  "density_g_cm3": 9.55,
  "lattice_angstrom": [[1.922, 1.109, 6.797], [-1.922, 1.109, 6.797], [0.000, -2.219, 6.797]],
  "species": ["Sm", "Th", "Co", "Co"],
  "frac_coords": [[0.000, 0.000, 0.000], [0.827, 0.827, 0.827], [0.243, 0.243, 0.243], [0.417, 0.417, 0.417]]
}

---

Run 3
{
  "formula": "SmThCo2",
  "functional": "PBE",
  "state": "relaxed",
  "sg": "No. 123",
  "density_g_cm3": 10.18,
  "lattice_angstrom": [[3.444, 0.000, 0.000], [0.000, 3.444, 0.000], [0.000, 0.000, 6.877]],
  "species": ["Sm", "Th", "Co", "Co"],
  "frac_coords": [[0.000, 0.000, 0.000], [0.000, 0.000, 0.500], [0.500, 0.500, 0.282], [0.500, 0.500, 0.718]]
}

---

Here is how they stack up, most stable first: run 3, run 1, run 2.

---

Run 1
{
  "formula": "SmTh2Co",
  "functional": "PBE",
  "state": "relaxed",
  "sg": "No. 160",
  "density_g_cm3": 9.70,
  "lattice_angstrom": [[1.921, 1.109, 9.018], [-1.921, 1.109, 9.018], [0.000, -2.218, 9.018]],
  "species": ["Sm", "Th", "Th", "Co"],
  "frac_coords": [[0.000, 0.000, 0.000], [0.560, 0.560, 0.560], [0.776, 0.776, 0.776], [0.167, 0.167, 0.167]]
}

---

Run 2
{
  "formula": "SmTh2Co",
  "functional": "PBE",
  "state": "relaxed",
  "sg": "No. 123",
  "density_g_cm3": 10.35,
  "lattice_angstrom": [[3.530, 0.000, 0.000], [0.000, 3.530, 0.000], [0.000, 0.000, 8.672]],
  "species": ["Sm", "Th", "Th", "Co"],
  "frac_coords": [[0.000, 0.000, 0.000], [0.500, 0.500, 0.315], [0.500, 0.500, 0.685], [0.000, 0.000, 0.500]]
}

---

Here is how they stack up, most stable first: run 1, run 2.

---

Run 1
{
  "formula": "SmTh2Co",
  "functional": "PBE",
  "state": "relaxed",
  "sg": "No. 166",
  "density_g_cm3": 9.10,
  "lattice_angstrom": [[1.876, 1.083, 10.082], [-1.876, 1.083, 10.082], [0.000, -2.166, 10.082]],
  "species": ["Sm", "Th", "Th", "Co"],
  "frac_coords": [[0.000, 0.000, 0.000], [0.114, 0.114, 0.114], [0.886, 0.886, 0.886], [0.500, 0.500, 0.500]]
}

---

Run 2
{
  "formula": "SmTh2Co",
  "functional": "PBE",
  "state": "relaxed",
  "sg": "No. 11",
  "density_g_cm3": 10.35,
  "lattice_angstrom": [[3.711, 0.000, 0.000], [0.000, 9.805, 0.000], [-1.855, 0.000, 5.935]],
  "species": ["Sm", "Sm", "Th", "Th", "Th", "Th", "Co", "Co"],
  "frac_coords": [[0.088, 0.250, 0.174], [0.912, 0.750, 0.826], [0.361, 0.067, 0.722], [0.361, 0.433, 0.722], [0.639, 0.567, 0.278], [0.639, 0.933, 0.278], [0.199, 0.750, 0.398], [0.801, 0.250, 0.602]]
}

---

Here is how they stack up, most stable first: run 2, run 1.